Compound: BaAl5
Source: the Alexandria database
Functional: PBE
Structure: relaxed

The structure in POSCAR format:
```
BaAl5
1.0
0.000 4.079 4.079
4.079 0.000 4.079
4.079 4.079 0.000
Ba Al
1 5
direct
0.000 0.000 0.000 Ba
0.376 0.376 0.376 Al
0.376 0.376 0.872 Al
0.376 0.872 0.376 Al
0.750 0.750 0.750 Al
0.872 0.376 0.376 Al
```

## Properties
Total magnetic moment, μB per formula unit: 0.000
Density, Mg/m³: 3.33
E, eV/atom: -3.34

=====

Compound: BaAl
Source: the Alexandria database
Functional: PBE
Structure: relaxed

The structure in POSCAR format:
```
BaAl
1.0
9.848 0.000 0.000
0.000 4.680 0.000
0.000 0.000 6.571
Ba Al
4 4
direct
0.179 0.250 0.091 Ba
0.321 0.750 0.591 Ba
0.679 0.250 0.409 Ba
0.821 0.750 0.909 Ba
0.024 0.250 0.586 Al
0.476 0.750 0.086 Al
0.524 0.250 0.914 Al
0.976 0.750 0.414 Al
```

## Properties
Total magnetic moment, μB per formula unit: 0.000
Density, Mg/m³: 3.60
E, eV/atom: -2.95